Computed, not measured: Ag5Te2Se4 after structural relaxation at the PBE level of DFT.

Spin magnetization = 0.00 Bohr magnetons per cell
Total DFT energy (no corrections) = -3.1071 eV/atom
Formation energy from raw total energies = 0.027 eV per atom

Cell lengths 8.916, 8.916, 4.737 Å; angles 98.32, 98.32, 53.50 degrees
Sites, in units of the cell vectors:
Ag1 0.000 0.000 0.000
Ag2 0.084 0.586 0.362
Ag3 0.414 0.916 0.638
Ag4 0.586 0.084 0.362
Ag5 0.916 0.414 0.638
Te1 0.434 0.434 0.754
Te2 0.566 0.566 0.246
Se1 0.143 0.143 0.305
Se2 0.296 0.296 0.027
Se3 0.704 0.704 0.973
Se4 0.857 0.857 0.695

---

Computed, not measured: LaPr5Nd2 after structural relaxation at the PBE level of DFT.

Spin magnetization = 0.00 Bohr magnetons per cell
Total DFT energy (no corrections) = -4.7833 eV/atom

Cell lengths 7.410, 14.825, 5.263 Å; angles 90.00, 90.00, 90.00 degrees
Sites, in units of the cell vectors:
La1 0.000 0.000 0.000
La2 0.500 0.500 0.000
Pr1 0.000 0.500 0.000
Pr2 0.002 0.251 0.000
Pr3 0.249 0.625 0.500
Pr4 0.251 0.125 0.500
Pr5 0.498 0.751 0.000
Pr6 0.500 0.000 0.000
Pr7 0.502 0.249 0.000
Pr8 0.749 0.875 0.500
Pr9 0.751 0.375 0.500
Pr10 0.998 0.749 0.000
Nd1 0.249 0.875 0.500
Nd2 0.251 0.375 0.500
Nd3 0.749 0.625 0.500
Nd4 0.751 0.125 0.500

---

Question: Which formula does entry 1 have?
Answer: Ag5Te2Se4